! FeS | Alexandria via LeMat-Bulk | PBE | relaxed; values from VASP
! Raw total energy, eV per atom: -6.564
! Uncorrected formation energy, eV/atom: -0.27
! Spin magnetization, μB/cell: 2.52
&SYSTEM
  ibrav = 0, nat = 12, ntyp = 2
/
ATOMIC_SPECIES
Fe 55.84 Fe.upf
S 32.06 S.upf
CELL_PARAMETERS angstrom
3.443 0.000 0.000
-1.722 2.982 0.000
0.000 0.000 17.656
ATOMIC_POSITIONS crystal
Fe 0.000 0.000 0.000
Fe 0.000 0.000 0.500
Fe 0.333 0.667 0.165
Fe 0.333 0.667 0.829
Fe 0.667 0.333 0.329
Fe 0.667 0.333 0.665
S 0.000 0.000 0.376
S 0.000 0.000 0.876
S 0.333 0.667 0.043
S 0.333 0.667 0.708
S 0.667 0.333 0.208
S 0.667 0.333 0.543